No. 1
An optimized crystal structure of K3H7Ir. Source: Alexandria, functional PBE.

The space group is Cm (No. 8) and the conventional cell measures 7.498, 8.225 and 5.798 Å, with angles of 90.00, 92.47 and 90.00 degrees. Symmetry generates all atoms from K at (0.000, 0.000, 0.000), K at (0.254, 0.248, 0.495), H at (0.112, 0.500, 0.727), H at (0.145, 0.381, 0.088), H at (0.309, 0.000, 0.799), H at (0.373, 0.000, 0.206), H at (0.428, 0.189, 0.923) and Ir at (0.492, 0.000, 0.966).

As for the calculated volume: 179 Å³/f.u. As for the total energy: -3.471 eV per atom.


No. 2
An optimized crystal structure of Mn2InSe. Source: Alexandria, functional PBE.

The space group is F-43m (No. 216) and the conventional cell measures 6.657, 6.657 and 6.657 Å, with angles of 90.00, 90.00 and 90.00 degrees. Symmetry generates all atoms from Mn at (0.000, 0.000, 0.000), Mn at (0.250, 0.250, 0.250), In at (0.250, 0.250, 0.750) and Se at (0.000, 0.000, 0.500).

As for the calculated volume: 74 Å³/f.u. As for the total energy: -5.618 eV per atom.


No. 3
An optimized crystal structure of AcZnIn3. Source: Alexandria, functional PBE.

The space group is Pnma (No. 62) and the conventional cell measures 9.457, 4.788 and 11.864 Å, with angles of 90.00, 90.00 and 90.00 degrees. Symmetry generates all atoms from Ac at (0.189, 0.250, 0.002), Zn at (0.106, 0.250, 0.638), In at (0.066, 0.250, 0.404), In at (0.114, 0.750, 0.208) and In at (0.133, 0.750, 0.796).

As for the calculated volume: 134 Å³/f.u. The calculation puts the formation energy from the elements at -0.262 eV per atom. As for the total energy: -2.982 eV per atom.


No. 4
An optimized crystal structure of La3NdFe. Source: Alexandria, functional PBE.

The space group is Pm-3m (No. 221) and the conventional cell measures 5.458, 5.458 and 5.458 Å, with angles of 90.00, 90.00 and 90.00 degrees. Symmetry generates all atoms from La at (0.000, 0.000, 0.500), Nd at (0.500, 0.500, 0.500) and Fe at (0.000, 0.000, 0.000).

As for the calculated volume: 163 Å³/f.u. The calculation puts the formation energy from the elements at 0.122 eV per atom. As for the total energy: -5.481 eV per atom.


No. 5
An optimized crystal structure of Ce3HoTh4S8. Source: Alexandria, functional PBE.

The space group is R-3m (No. 166, hexagonal axes) and the conventional cell measures 7.9807, 7.9807 and 19.9128 Å, with angles of 90.00, 90.00 and 120.00 degrees. Symmetry generates all atoms from Ce at (0.0000, 0.5000, 0.0000), Ho at (0.0000, 0.0000, 0.0000), Th at (0.0000, 0.0000, 0.5000), Th at (0.0000, 0.5000, 0.5000), S at (0.0000, 0.0000, 0.2512) and S at (0.0062, 0.5031, 0.7473).

As for the calculated volume: 366 Å³/f.u. As for the total energy: -7.254 eV per atom.


No. 6
An optimized crystal structure of CaCd4Pd. Source: Alexandria, functional PBE.

The space group is Pmma (No. 51) and the conventional cell measures 8.939, 4.097 and 7.552 Å, with angles of 90.00, 90.00 and 90.00 degrees. Symmetry generates all atoms from Ca at (0.250, 0.000, 0.093), Cd at (0.000, 0.000, 0.500), Cd at (0.048, 0.500, 0.811), Cd at (0.250, 0.500, 0.436) and Pd at (0.250, 0.000, 0.708).

As for the calculated volume: 138 Å³/f.u. The calculation puts the formation energy from the elements at -0.346 eV per atom. As for the total energy: -2.155 eV per atom.


No. 7
An optimized crystal structure of SrCo2Cl. Source: Alexandria, functional PBE.

The space group is R-3m (No. 166, hexagonal axes) and the conventional cell measures 3.3856, 3.3856 and 24.5255 Å, with angles of 90.00, 90.00 and 120.00 degrees. Symmetry generates all atoms from Sr at (0.0000, 0.0000, 0.0000), Co at (0.0000, 0.0000, 0.2320) and Cl at (0.0000, 0.0000, 0.5000).

As for the calculated volume: 81 Å³/f.u. As for the total energy: -3.690 eV per atom.


No. 8
An optimized crystal structure of Sn2Ge. Source: Alexandria, functional PBE.

The space group is C2/m (No. 12) and the conventional cell measures 5.553, 5.543 and 5.490 Å, with angles of 90.00, 117.95 and 90.00 degrees. Symmetry generates all atoms from Sn at (0.164, 0.000, 0.323) and Ge at (0.000, 0.500, 0.000).

As for the calculated volume: 75 Å³/f.u. The calculation puts the formation energy from the elements at 0.165 eV per atom. As for the total energy: -4.043 eV per atom.


No. 9
An optimized crystal structure of ThTeH. Source: Alexandria, functional PBE.

The space group is P4_122 (No. 91) and the conventional cell measures 4.037, 4.037 and 39.290 Å, with angles of 90.00, 90.00 and 90.00 degrees. Symmetry generates all atoms from Th at (0.065, 0.270, 0.164), Te at (0.238, 0.433, 0.048) and H at (0.128, 0.435, 0.888).

As for the calculated volume: 80 Å³/f.u. As for the total energy: -5.358 eV per atom.


No. 10
An optimized crystal structure of Y2PaPd. Source: Alexandria, functional PBE.

The space group is P4/mmm (No. 123) and the conventional cell measures 3.468, 3.468 and 8.291 Å, with angles of 90.00, 90.00 and 90.00 degrees. Symmetry generates all atoms from Y at (0.000, 0.000, 0.213), Pa at (0.500, 0.500, 0.500) and Pd at (0.500, 0.500, 0.000).

As for the calculated volume: 100 Å³/f.u. The calculation puts the formation energy from the elements at -0.274 eV per atom. As for the total energy: -7.178 eV per atom.


No. 11
An optimized crystal structure of AcIrPd. Source: Alexandria, functional PBE.

The space group is Imma (No. 74) and the conventional cell measures 4.436, 8.532 and 7.724 Å, with angles of 90.00, 90.00 and 90.00 degrees. Symmetry generates all atoms from Ac at (0.000, 0.000, 0.000), Ir at (0.000, 0.250, 0.323) and Pd at (0.000, 0.250, 0.660).

As for the calculated volume: 73 Å³/f.u. The calculation puts the formation energy from the elements at -0.663 eV per atom. As for the total energy: -6.717 eV per atom.


No. 12
An optimized crystal structure of LaCrRe2. Source: Alexandria, functional PBE.

The space group is P4mm (No. 99) and the conventional cell measures 3.095, 3.095 and 7.877 Å, with angles of 90.00, 90.00 and 90.00 degrees. Symmetry generates all atoms from La at (0.000, 0.000, 0.000), Cr at (0.500, 0.500, 0.675), Re at (0.000, 0.000, 0.481) and Re at (0.500, 0.500, 0.295).

As for the calculated volume: 75 Å³/f.u. The calculation puts the formation energy from the elements at 0.344 eV per atom. As for the total energy: -9.518 eV per atom.


No. 13
An optimized crystal structure of ReHSe3. Source: Alexandria, functional PBE.

The space group is Pm-3m (No. 221) and the conventional cell measures 4.201, 4.201 and 4.201 Å, with angles of 90.00, 90.00 and 90.00 degrees. Symmetry generates all atoms from Re at (0.000, 0.000, 0.000), H at (0.500, 0.500, 0.500) and Se at (0.000, 0.500, 0.500).

As for the calculated volume: 74 Å³/f.u. As for the total energy: -3.997 eV per atom.


No. 14
An optimized crystal structure of Ta2BeAlB. Source: Alexandria, functional PBE.

The space group is P4/mmm (No. 123) and the conventional cell measures 4.346, 4.346 and 3.938 Å, with angles of 90.00, 90.00 and 90.00 degrees. Symmetry generates all atoms from Ta at (0.000, 0.500, 0.000), Be at (0.000, 0.000, 0.000), Al at (0.000, 0.000, 0.500) and B at (0.500, 0.500, 0.500).

As for the calculated volume: 74 Å³/f.u. The calculation puts the formation energy from the elements at 0.995 eV per atom. As for the total energy: -6.575 eV per atom.


No. 15
An optimized crystal structure of La2PRu. Source: Alexandria, functional PBE.

The space group is Amm2 (No. 38) and the conventional cell measures 4.193, 4.234 and 10.818 Å, with angles of 90.00, 90.00 and 90.00 degrees. Symmetry generates all atoms from La at (0.000, 0.000, 0.000), La at (0.500, 0.000, 0.275), P at (0.000, 0.000, 0.703) and Ru at (0.500, 0.000, 0.571).

As for the calculated volume: 96 Å³/f.u. The calculation puts the formation energy from the elements at -0.837 eV per atom. As for the total energy: -6.972 eV per atom.


No. 16
An optimized crystal structure of La3NdPb2. Source: Alexandria, functional PBE.

The space group is Cmmm (No. 65) and the conventional cell measures 5.059, 16.875 and 4.599 Å, with angles of 90.00, 90.00 and 90.00 degrees. Symmetry generates all atoms from La at (0.000, 0.000, 0.000), La at (0.000, 0.318, 0.000), Nd at (0.000, 0.500, 0.500) and Pb at (0.000, 0.148, 0.500).

As for the calculated volume: 196 Å³/f.u. The calculation puts the formation energy from the elements at -0.454 eV per atom. As for the total energy: -4.948 eV per atom.


No. 17
An optimized crystal structure of LuAl2Zn. Source: Alexandria, functional PBE.

The space group is R-3m (No. 166, hexagonal axes) and the conventional cell measures 4.2546, 4.2546 and 15.1072 Å, with angles of 90.00, 90.00 and 120.00 degrees. Symmetry generates all atoms from Lu at (0.0000, 0.0000, 0.0000), Al at (0.0000, 0.0000, 0.2155) and Zn at (0.0000, 0.0000, 0.5000).

As for the calculated volume: 79 Å³/f.u. The calculation puts the formation energy from the elements at -0.212 eV per atom. As for the total energy: -3.532 eV per atom.


No. 18
An optimized crystal structure of ReSi3Pb. Source: Alexandria, functional PBE.

The space group is Pm-3m (No. 221) and the conventional cell measures 4.773, 4.773 and 4.773 Å, with angles of 90.00, 90.00 and 90.00 degrees. Symmetry generates all atoms from Re at (0.000, 0.000, 0.000), Si at (0.000, 0.000, 0.500) and Pb at (0.500, 0.500, 0.500).

As for the calculated volume: 109 Å³/f.u. As for the total energy: -5.953 eV per atom.


No. 19
An optimized crystal structure of GaB3S. Source: Alexandria, functional PBE.

The space group is Pm-3m (No. 221) and the conventional cell measures 3.857, 3.857 and 3.857 Å, with angles of 90.00, 90.00 and 90.00 degrees. Symmetry generates all atoms from Ga at (0.000, 0.000, 0.000), B at (0.000, 0.500, 0.500) and S at (0.500, 0.500, 0.500).

As for the calculated volume: 57 Å³/f.u. As for the total energy: -3.830 eV per atom.


No. 20
An optimized crystal structure of PmLu2Sb. Source: Alexandria, functional PBE.

The space group is Fm-3m (No. 225) and the conventional cell measures 7.567, 7.567 and 7.567 Å, with angles of 90.00, 90.00 and 90.00 degrees. Symmetry generates all atoms from Pm at (0.000, 0.000, 0.000), Lu at (0.250, 0.250, 0.250) and Sb at (0.000, 0.000, 0.500).

As for the calculated volume: 108 Å³/f.u. As for the total energy: -4.657 eV per atom.


No. 21
An optimized crystal structure of NbFeTc3. Source: Alexandria, functional PBE.

The space group is Pm-3m (No. 221) and the conventional cell measures 4.380, 4.380 and 4.380 Å, with angles of 90.00, 90.00 and 90.00 degrees. Symmetry generates all atoms from Nb at (0.000, 0.000, 0.000), Fe at (0.500, 0.500, 0.500) and Tc at (0.000, 0.500, 0.500).

As for the calculated volume: 84 Å³/f.u. The calculation puts the formation energy from the elements at 1.027 eV per atom. As for the total energy: -8.899 eV per atom.


No. 22
An optimized crystal structure of KLiMgTl2. Source: Alexandria, functional PBE.

The space group is P4/mmm (No. 123) and the conventional cell measures 5.324, 5.324 and 5.347 Å, with angles of 90.00, 90.00 and 90.00 degrees. Symmetry generates all atoms from K at (0.000, 0.000, 0.000), Li at (0.500, 0.500, 0.500), Mg at (0.500, 0.500, 0.000) and Tl at (0.000, 0.500, 0.500).

As for the calculated volume: 152 Å³/f.u. The calculation puts the formation energy from the elements at 0.045 eV per atom. As for the total energy: -1.823 eV per atom.


No. 23
An optimized crystal structure of Sr2CoSe. Source: Alexandria, functional PBE.

The space group is P4/mmm (No. 123) and the conventional cell measures 3.830, 3.830 and 7.359 Å, with angles of 90.00, 90.00 and 90.00 degrees. Symmetry generates all atoms from Sr at (0.000, 0.000, 0.247), Co at (0.500, 0.500, 0.500) and Se at (0.500, 0.500, 0.000).

As for the calculated volume: 108 Å³/f.u. As for the total energy: -4.012 eV per atom.


No. 24
An optimized crystal structure of Tm6NpSe8. Source: Alexandria, functional PBE.

The space group is Fm-3m (No. 225) and the conventional cell measures 11.345, 11.345 and 11.345 Å, with angles of 90.00, 90.00 and 90.00 degrees. Symmetry generates all atoms from Tm at (0.000, 0.250, 0.250), Np at (0.000, 0.000, 0.000), Se at (0.000, 0.000, 0.259) and Se at (0.250, 0.250, 0.250).

As for the calculated volume: 365 Å³/f.u. As for the total energy: -6.159 eV per atom.


No. 25
An optimized crystal structure of Li2CuPt. Source: Alexandria, functional PBE.

The space group is R-3m (No. 166, hexagonal axes) and the conventional cell measures 2.7406, 2.7406 and 25.4409 Å, with angles of 90.00, 90.00 and 120.00 degrees. Symmetry generates all atoms from Li at (0.0000, 0.0000, 0.2492), Cu at (0.0000, 0.0000, 0.0000) and Pt at (0.0000, 0.0000, 0.5000).

As for the calculated volume: 55 Å³/f.u. The calculation puts the formation energy from the elements at -0.288 eV per atom. As for the total energy: -3.779 eV per atom.